# 1
The following is a DFT calculation (GGA-PBE) of a relaxed structure of FeP2Se.

* M_tot: 1.99 μB per cell
* E_tot: -5.511 eV per atom
* density of states at the Fermi level: 2.6 states/eV/f.u.
* formation energy (no corrections): 4.16 kcal/mol of atoms

Cell: 3.0558 3.0558 6.9666 Å, 90.00 90.00 90.00°
Last column: nearest neighbours and their distance in Å.
Positions (direct):
Fe1 0.0000 0.0000 0.0000  5 P 2.41-2.56, 4 Se 2.62
P1 0.0000 0.0000 0.3456  4 P 2.40, 1 Fe 2.41
P2 0.5000 0.5000 0.1965  4 P 2.40, 4 Fe 2.56
Se1 0.5000 0.5000 0.7879  4 Fe 2.62, 1 P 2.85

***

# 2
The following is a DFT calculation (GGA-PBE) of a relaxed structure of ZrBe2Pb.

* M_tot: 0.00 μB per cell
* E_tot: -4.665 eV per atom
* density of states at the Fermi level: 1.6 states/eV/f.u.
* energy of formation from the pure elements: 0.26 eV/atom

Cell: 3.1775 3.1775 6.9165 Å, 90.00 90.00 99.74°
Last column: nearest neighbours and their distance in Å.
Positions (direct):
Zr1 0.0000 0.0000 0.0000  3 Be 2.62-2.68
Be1 0.0000 0.0000 0.6218  2 Be 2.23
Be2 0.5000 0.5000 0.7504  2 Be 2.23
Pb1 0.5000 0.5000 0.3453  5 Be 2.80-3.09

***

# 3
The following is a DFT calculation (GGA-PBE) of a relaxed structure of MgZnS2.

* M_tot: 0.00 μB per cell
* E_tot: -3.400 eV per atom
* density of states at the Fermi level: 0.1 states/eV/f.u.
* formation energy (no corrections): -14.29 kcal/mol of atoms

Cell: 9.2932 9.2932 4.8328 Å, 90.00 90.00 157.14°
Last column: nearest neighbours and their distance in Å.
Positions (direct):
Mg1 0.1728 0.8272 0.7500  3 S 2.48-2.68
Mg2 0.8272 0.1728 0.2500  3 S 2.48-2.68
Zn1 0.4351 0.5649 0.7500  4 S 2.30-2.42
Zn2 0.5649 0.4351 0.2500  4 S 2.30-2.42
S1 0.3086 0.6914 0.7500  1 Zn 2.30, 1 Mg 2.48
S2 0.4339 0.5661 0.2500  3 Zn 2.39-2.42
S3 0.5661 0.4339 0.7500  3 Zn 2.39-2.42
S4 0.6914 0.3086 0.2500  1 Zn 2.30, 1 Mg 2.48

***

# 4
The following is a DFT calculation (GGA-PBE) of a relaxed structure of LiSi2.

* M_tot: 0.00 μB per cell
* E_tot: -4.108 eV per atom
* density of states at the Fermi level: 0.4 states/eV/f.u.
* formation energy (no corrections): 3.34 kcal/mol of atoms
* offset from the most stable computed form: 185 meV per atom

Cell: 3.0153 3.0153 5.9556 Å, 90.00 90.00 120.00°
Last column: nearest neighbours and their distance in Å.
Positions (direct):
Li1 0.0000 0.0000 0.0000  6 Si 2.72, 6 Li 3.02
Si1 0.3333 0.6667 0.3507  3 Si 2.49, 3 Li 2.72
Si2 0.6667 0.3333 0.6493  3 Si 2.49, 3 Li 2.72

***

# 5
The following is a DFT calculation (GGA-PBE) of a relaxed structure of SrCa2MgRh.

* M_tot: 0.00 μB per cell
* E_tot: -3.126 eV per atom
* density of states at the Fermi level: 3.6 states/eV/f.u.
* energy of formation from the pure elements: -0.20 eV/atom
* offset from the most stable computed form: 0 meV per atom

Cell: 5.5121 5.5121 5.3566 Å, 90.00 90.00 90.00°
Last column: nearest neighbours and their distance in Å.
Positions (direct):
Sr1 0.0000 0.0000 0.0000  8 Ca 3.84, 4 Mg 3.90
Ca1 0.0000 0.5000 0.5000  2 Rh 2.76
Ca2 0.5000 0.0000 0.5000  2 Rh 2.76
Mg1 0.5000 0.5000 0.0000  2 Rh 2.68
Rh1 0.5000 0.5000 0.5000  2 Mg 2.68, 4 Ca 2.76

***

# 6
The following is a DFT calculation (GGA-PBE) of a relaxed structure of Ga3Si.

* M_tot: 0.00 μB per cell
* E_tot: -3.460 eV per atom
* density of states at the Fermi level: 1.3 states/eV/f.u.
* formation energy (no corrections): 3.83 kcal/mol of atoms

Cell: 5.8702 5.8702 5.8702 Å, 149.96 56.18 133.71°
Last column: nearest neighbours and their distance in Å.
Positions (direct):
Ga1 0.0000 0.0000 0.0000  4 Si 2.76-2.77, 2 Ga 3.04
Ga2 0.2779 0.4955 0.7824  2 Si 2.72, 6 Ga 2.84-3.04
Ga3 0.7131 0.4955 0.2176  2 Si 2.72, 6 Ga 2.84-3.04
Si1 0.5010 0.0010 0.5000  8 Ga 2.72-2.77, 2 Si 3.04

***

# 7
The following is a DFT calculation (GGA-PBE) of a relaxed structure of Na5SbTe6.

* M_tot: 0.00 μB per cell
* E_tot: -3.014 eV per atom
* density of states at the Fermi level: 3.7 states/eV/f.u.
* formation energy (no corrections): -12.68 kcal/mol of atoms

Cell: 9.0516 9.0516 6.7253 Å, 100.68 100.68 132.59°
Last column: nearest neighbours and their distance in Å.
Positions (direct):
Na1 0.0000 0.0000 0.0000  6 Te 3.15-3.36, 2 Sb 3.36
Na2 0.3314 0.6686 0.5000  6 Te 3.24-3.29, 2 Na 3.36
Na3 0.3346 0.6654 0.0000  6 Te 3.22-3.35, 2 Na 3.36
Na4 0.6654 0.3346 0.0000  6 Te 3.22-3.35, 2 Na 3.36
Na5 0.6686 0.3314 0.5000  6 Te 3.24-3.29, 2 Na 3.36
Sb1 0.0000 0.0000 0.5000  6 Te 3.10-3.14, 2 Na 3.36
Te1 0.1586 0.8383 0.2513  1 Sb 3.14, 5 Na 3.15-3.35, 2 Te 3.33-3.39
Te2 0.1617 0.8414 0.7487  1 Sb 3.14, 5 Na 3.15-3.35, 2 Te 3.33-3.39
Te3 0.4794 0.4794 0.7355  1 Sb 3.10, 5 Na 3.23-3.36, 2 Te 3.32-3.43
Te4 0.5206 0.5206 0.2646  1 Sb 3.10, 5 Na 3.23-3.36, 2 Te 3.32-3.43
Te5 0.8383 0.1586 0.2513  1 Sb 3.14, 5 Na 3.15-3.35, 2 Te 3.33-3.39
Te6 0.8414 0.1617 0.7487  1 Sb 3.14, 5 Na 3.15-3.35, 2 Te 3.33-3.39

***

# 8
The following is a DFT calculation (GGA-PBE) of a relaxed structure of TiCu2AgCl.

* M_tot: 0.95 μB per cell
* E_tot: -3.570 eV per atom
* density of states at the Fermi level: 3.2 states/eV/f.u.
* formation energy (no corrections): 13.54 kcal/mol of atoms

Cell: 4.8978 4.8978 4.5365 Å, 90.00 90.00 90.00°
Last column: nearest neighbours and their distance in Å.
Positions (direct):
Ti1 0.0000 0.0000 0.0000  2 Cl 2.27, 4 Cu 2.45
Cu1 0.0000 0.5000 0.0000  2 Ti 2.45
Cu2 0.5000 0.0000 0.0000  2 Ti 2.45
Ag1 0.5000 0.5000 0.5000  8 Cu 3.34, 4 Cl 3.46
Cl1 0.0000 0.0000 0.5000  2 Ti 2.27